## ZnCrAuO2 (GGA+U)

Data for an optimized crystal structure of ZnCrAuO2.

POSCAR file:
```
ZnCrAuO2
1.0
3.648 0.000 0.000
0.000 6.876 0.000
0.000 0.000 3.648
Au Zn Cr O
1 1 1 2
direct
0.500 0.500 0.500
0.000 0.500 0.000
0.000 0.000 0.000
0.500 0.000 0.000
0.000 0.000 0.500
```

Summary:
symmetry = P4/mmm (123)
E = -4.92 eV/atom
total magnetic moment = 0.4357 μB/atom